# 1
Here is LiY2As after structural relaxation from Alexandria. Energies are from PBE-GGA.

Properties
DOS at the Fermi energy ... 2.41 states/eV/cell
Total magnetic moment ... 0.00 μB per cell
ΔH_f (0 K) ... -0.467 eV per atom
Density ... 4.2 g/cm3
Symmetry ... Immm (71)

```
4
Lattice="5.8353 0.0383 0.0139 2.0647 5.4579 -0.0139 -3.4948 -3.4024 3.2035" Properties=species:S:1:pos:R:3 pbc="T T T"
As 3.1452 -0.3080 1.6087
Li 1.2599 2.4018 1.5948
Y 4.2548 2.9602 0.0000
Y 7.5951 5.2842 0.0000
```

# 2
Here is LaIr2Os after structural relaxation from Alexandria. Energies are from PBE-GGA.

Properties
DOS at the Fermi energy ... 4.06 states/eV/cell
Total magnetic moment ... 0.00 μB per cell
ΔH_f (0 K) ... 0.195 eV per atom
Density ... 16.7 g/cm3
Symmetry ... P4mm (99)

```
4
Lattice="-1.7364 -2.3474 0.1766 2.3536 -1.7269 0.1868 -0.1295 0.7180 8.2694" Properties=species:S:1:pos:R:3 pbc="T T T"
Ir -0.1288 0.7139 8.2222
Ir 0.2809 -1.8833 1.9536
Os 0.2055 -1.4655 6.7657
La -0.0641 0.3556 4.0954
```

# 3
Here is CdAs4Au after structural relaxation from Alexandria. Energies are from PBE-GGA.

Properties
DOS at the Fermi energy ... 1.88 states/eV/cell
Total magnetic moment ... 0.00 μB per cell
ΔH_f (0 K) ... 0.410 eV per atom
Density ... 8.1 g/cm3
Symmetry ... F-43m (216)

```
6
Lattice="0.0000 3.9675 3.9675 3.9675 0.0000 3.9675 3.9675 3.9675 0.0000" Properties=species:S:1:pos:R:3 pbc="T T T"
As 4.9477 4.9477 2.9872
As 2.9872 2.9872 2.9872
As 4.9477 2.9872 4.9477
As 2.9872 4.9477 4.9477
Cd 0.0000 0.0000 0.0000
Au 5.9512 5.9512 5.9512
```

# 4
Here is KY2Cl after structural relaxation from Alexandria. Energies are from PBE-GGA.

Properties
DOS at the Fermi energy ... 6.33 states/eV/cell
Formation energy (no corrections) ... 0.81 eV per formula unit
Total magnetic moment ... 1.44 μB per cell
Density ... 3.1 g/cm3
Symmetry ... I-4m2 (119)

```
4
Lattice="6.6335 0.0178 0.0000 3.0466 5.8925 0.0000 -4.8400 -2.9552 3.4416" Properties=species:S:1:pos:R:3 pbc="T T T"
Cl 4.8400 2.9552 0.0000
Y 0.0000 0.0000 0.0000
Y 1.5233 2.9463 1.7208
K 3.3168 0.0089 1.7208
```

# 5
Here is MgReAu2 after structural relaxation from Alexandria. Energies are from PBE-GGA.

Properties
DOS at the Fermi energy ... 3.16 states/eV/cell
Total magnetic moment ... 0.00 μB per cell
ΔH_f (0 K) ... 0.266 eV per atom
Density ... 14.7 g/cm3
Symmetry ... C2/m (12)

```
4
Lattice="-1.6992 0.0280 -4.5649 -3.7807 -0.8102 -2.9625 -2.0086 4.9735 -0.0077" Properties=species:S:1:pos:R:3 pbc="T T T"
Au -3.7461 2.1273 -3.7534
Au -2.0067 4.9418 -0.0219
Re -5.6164 3.1435 -5.6513
Mg -1.8721 1.0478 -1.8838
```

# 6
Here is Fe2Au after structural relaxation from Alexandria. Energies are from PBE-GGA.

Properties
DOS at the Fermi energy ... 2.69 states/eV/cell
Total magnetic moment ... 5.56 μB per cell
ΔH_f (0 K) ... 0.484 eV per atom
Density ... 10.5 g/cm3
Symmetry ... P4/mmm (123)

```
3
Lattice="-2.4620 0.1047 2.3831 2.3510 -0.4735 2.4496 0.4873 4.0927 0.3235" Properties=species:S:1:pos:R:3 pbc="T T T"
Fe -0.9873 2.0987 1.3533
Fe 1.4191 1.8096 1.3865
Au 0.0000 0.0000 0.0000
```

Uncorrected energy (computed, eV per cell): -21.36, -33.10, -20.33, -15.06, -19.53, -18.75